(1)
# PBE CoRh4Pb, optimized geometry
data_CoRh4Pb
_chemical_formula_sum 'Co4 Rh16 Pb4'
_cell_length_a 7.3443
_cell_length_b 7.3443
_cell_length_c 7.3443
_cell_angle_alpha 90.00
_cell_angle_beta 90.00
_cell_angle_gamma 90.00
_space_group_name_H-M_alt 'F -4 3 m'
_space_group_IT_number 216
_space_group_name_Hall 'F -4 2 3'
loop_
_atom_site_label
_atom_site_type_symbol
_atom_site_fract_x
_atom_site_fract_y
_atom_site_fract_z
Co1 Co 0.0000 0.0000 0.0000
Rh1 Rh 0.1253 0.1253 0.3747
Pb1 Pb 0.2500 0.2500 0.7500
# - Fermi-level density of states: 1.965 states/eV per atom
# - Calculated formation energy: 0.42 eV per atom
# - Size of the total moment: 0.618 μB per atom



(2)
# PBE CoRh2Pb2, optimized geometry
data_CoRh2Pb2
_chemical_formula_sum 'Co2 Rh4 Pb4'
_cell_length_a 6.6724
_cell_length_b 6.6724
_cell_length_c 4.2557
_cell_angle_alpha 90.00
_cell_angle_beta 90.00
_cell_angle_gamma 90.00
_space_group_name_H-M_alt 'P 4/m b m'
_space_group_IT_number 127
_space_group_name_Hall '-P 4 2ab'
loop_
_atom_site_label
_atom_site_type_symbol
_atom_site_fract_x
_atom_site_fract_y
_atom_site_fract_z
Co1 Co 0.0000 0.0000 0.0000
Rh1 Rh 0.1452 0.3548 0.0000
Pb1 Pb 0.1700 0.6700 0.5000
# - E above lowest polymorph: 0 meV per atom
# - Fermi-level density of states: 0.996 states/eV per atom
# - Calculated formation energy: 0.27 eV per atom
# - Size of the total moment: 0.460 μB per atom



(3)
# PBE CoRh2Pb2, optimized geometry
data_CoRh2Pb2
_chemical_formula_sum 'Co2 Rh4 Pb4'
_cell_length_a 3.5909
_cell_length_b 3.5909
_cell_length_c 15.7983
_cell_angle_alpha 90.00
_cell_angle_beta 90.00
_cell_angle_gamma 90.00
_space_group_name_H-M_alt 'I 4/m m m'
_space_group_IT_number 139
_space_group_name_Hall '-I 4 2'
loop_
_atom_site_label
_atom_site_type_symbol
_atom_site_fract_x
_atom_site_fract_y
_atom_site_fract_z
Co1 Co 0.0000 0.0000 0.0000
Rh1 Rh 0.0000 0.5000 0.2500
Pb1 Pb 0.0000 0.0000 0.3961
# - E above lowest polymorph: 303 meV per atom
# - Fermi-level density of states: 1.666 states/eV per atom
# - Calculated formation energy: 0.58 eV per atom
# - Size of the total moment: 0.127 μB per atom



(4)
# PBE CoRhPb2, optimized geometry
data_CoRhPb2
_chemical_formula_sum 'Co2 Rh2 Pb4'
_cell_length_a 8.2534
_cell_length_b 3.3514
_cell_length_c 5.7927
_cell_angle_alpha 90.00
_cell_angle_beta 103.64
_cell_angle_gamma 90.00
_space_group_name_H-M_alt 'C 1 2/m 1'
_space_group_IT_number 12
loop_
_space_group_symop_operation_xyz
'x,y,z'
'-x,-y,-z'
'-x,y,-z'
'x,-y,z'
'x+1/2,y+1/2,z'
'-x+1/2,-y+1/2,-z'
'-x+1/2,y+1/2,-z'
'x+1/2,-y+1/2,z'
loop_
_atom_site_label
_atom_site_type_symbol
_atom_site_fract_x
_atom_site_fract_y
_atom_site_fract_z
Co1 Co 0.0000 0.0000 0.0000
Rh1 Rh 0.0000 0.5000 0.5000
Pb1 Pb 0.2463 0.5000 0.2414
# - E above lowest polymorph: 190 meV per atom
# - Fermi-level density of states: 1.215 states/eV per atom
# - Calculated formation energy: 0.39 eV per atom
# - Size of the total moment: 0.242 μB per atom



(5)
# PBE CoRhPb2, optimized geometry
data_CoRhPb2
_chemical_formula_sum 'Co1 Rh1 Pb2'
_cell_length_a 4.4721
_cell_length_b 3.3255
_cell_length_c 5.5952
_cell_angle_alpha 90.00
_cell_angle_beta 109.98
_cell_angle_gamma 90.00
_space_group_name_H-M_alt 'P 1 2/m 1'
_space_group_IT_number 10
loop_
_space_group_symop_operation_xyz
'x,y,z'
'-x,-y,-z'
'-x,y,-z'
'x,-y,z'
loop_
_atom_site_label
_atom_site_type_symbol
_atom_site_fract_x
_atom_site_fract_y
_atom_site_fract_z
Co1 Co 0.0000 0.0000 0.0000
Rh1 Rh 0.5000 0.5000 0.5000
Pb1 Pb 0.0000 0.0000 0.5000
Pb2 Pb 0.5000 0.5000 0.0000
# - E above lowest polymorph: 190 meV per atom
# - Fermi-level density of states: 1.018 states/eV per atom
# - Calculated formation energy: 0.39 eV per atom
# - Size of the total moment: 0.225 μB per atom



(6)
# PBE CoRh2Pb, optimized geometry
data_CoRh2Pb
_chemical_formula_sum 'Co1 Rh2 Pb1'
_cell_length_a 2.9450
_cell_length_b 4.4852
_cell_length_c 4.9099
_cell_angle_alpha 90.00
_cell_angle_beta 93.51
_cell_angle_gamma 90.00
_space_group_name_H-M_alt 'P 1 2/m 1'
_space_group_IT_number 10
loop_
_space_group_symop_operation_xyz
'x,y,z'
'-x,-y,-z'
'-x,y,-z'
'x,-y,z'
loop_
_atom_site_label
_atom_site_type_symbol
_atom_site_fract_x
_atom_site_fract_y
_atom_site_fract_z
Co1 Co 0.0000 0.0000 0.0000
Rh1 Rh 0.2186 0.5000 0.7712
Pb1 Pb 0.5000 0.0000 0.5000
# - Fermi-level density of states: 1.413 states/eV per atom
# - Calculated formation energy: 0.34 eV per atom
# - Size of the total moment: 0.503 μB per atom